UPaSeS: relaxed, GGA-PBE.

Unit cell a=3.7594 b=3.7596 c=7.6547 alpha=90.00 beta=104.21 gamma=120.00
Site moments in Bohr magnetons follow the coordinates.
Atoms (fractional coordinates):
Se1 0.9684 0.3822 0.3657  -0.02
S1 0.3023 0.5491 0.8666  -0.03
Pa1 0.1207 0.9583 0.0943  -0.26
U1 0.4865 0.1412 0.6430  2.48

## Properties
symmetry	R3m (160)
formation energy without anion corrections	-1.21	eV/atom



MgAg5Se3: relaxed, GGA-PBE.

Unit cell a=6.7077 b=8.2621 c=8.1441 alpha=106.10 beta=90.00 gamma=113.95
Atoms (fractional coordinates):
Se1 0.5846 0.3167 0.3465
Ag1 0.0465 0.6693 0.4578
Se2 0.7321 0.3167 0.8465
Ag2 0.9497 0.3372 0.1626
Ag3 0.6850 0.0000 0.2500
Se3 0.0000 0.0000 0.0000
Se4 0.4154 0.6833 0.6535
Ag4 0.6125 0.6628 0.3374
Ag5 0.0503 0.6628 0.8374
Ag6 0.6229 0.6693 0.9578
Ag7 0.9535 0.3307 0.5422
Ag8 0.3150 0.0000 0.7500
Se5 0.0000 0.0000 0.5000
Ag9 0.3875 0.3372 0.6626
Ag10 0.3771 0.3307 0.0422
Se6 0.2679 0.6833 0.1535
Mg1 0.7609 0.0000 0.7500
Mg2 0.2391 0.0000 0.2500

## Properties
symmetry	C2/c (15)
formation energy without anion corrections	-0.19	eV/atom



LaMgZn2Pt: relaxed, GGA-PBE.

Unit cell a=3.9621 b=4.2553 c=6.8606 alpha=108.07 beta=106.78 gamma=90.00
Atoms (fractional coordinates):
Zn1 0.0515 0.0515 0.1031
La1 0.4302 0.4302 0.8604
Pt1 0.8411 0.8411 0.6822
Zn2 0.6976 0.1976 0.3952
Mg1 0.1917 0.6917 0.3835

## Properties
symmetry	Imm2 (44)
energy relative to the elements	-0.607	eV/atom



| no. | magnetic moment (μB per formula unit) | total DFT energy (no corrections) (eV/atom) |
| --- | --- | --- |
| 1 | 2.55 | -8.31 |
| 2 | 0.00 | -3.11 |
| 3 | 0.00 | -3.63 |